P) ## Ba2RhCl (SCAN)

Data for a PBEsol-optimized structure of Ba2RhCl.

## Properties
Symmetry: No. 123
Mass density, g cm⁻³: 6.2

abc: 3.7204 3.7204 8.0351
angles: 90.00 90.00 90.00
Sites, in units of the cell vectors:
Ba: 0.0000 0.0000 0.2259
Ba: 0.0000 0.0000 0.7741
Rh: 0.5000 0.5000 0.0000
Cl: 0.5000 0.5000 0.5000

Q) ## Ba2RhCl (SCAN)

Data for a PBEsol-optimized structure of Ba2RhCl.

## Properties
Symmetry: No. 99
Mass density, g cm⁻³: 5.6

abc: 4.4793 4.4793 6.1476
angles: 90.00 90.00 90.00
Sites, in units of the cell vectors:
Ba: 0.0000 0.0000 0.0000
Ba: 0.5000 0.5000 0.4819
Rh: 0.0000 0.0000 0.4603
Cl: 0.5000 0.5000 0.9807

R) ## Ba2RhCl (SCAN)

Data for a PBEsol-optimized structure of Ba2RhCl.

## Properties
Symmetry: No. 166
Mass density, g cm⁻³: 5.3

abc: 4.4441 4.4441 22.8154
angles: 90.00 90.00 120.00
Sites, in units of the cell vectors:
Ba: 0.0000 0.0000 0.2404
Ba: 0.0000 0.0000 0.7596
Ba: 0.3333 0.6667 0.4263
Ba: 0.3333 0.6667 0.9071
Ba: 0.6667 0.3333 0.0929
Ba: 0.6667 0.3333 0.5737
Rh: 0.0000 0.0000 0.5000
Rh: 0.3333 0.6667 0.1667
Rh: 0.6667 0.3333 0.8333
Cl: 0.0000 0.0000 0.0000
Cl: 0.3333 0.6667 0.6667
Cl: 0.6667 0.3333 0.3333

Last place for stability: P)